Record 1
Tm2AgHg5: optimized geometry, PBE-GGA.

Computed properties:
- ΔE_f: -0.216 eV/atom
- Final energy: -1.879 eV/atom
- Space-group type: I4/mmm, No. 139

a b c (Å): 5.110 5.110 14.210
angles (deg): 90.00 90.00 90.00
Element x y z (fractional)
Tm 0.000 0.000 0.248
Tm 0.000 0.000 0.752
Tm 0.500 0.500 0.252
Tm 0.500 0.500 0.748
Ag 0.000 0.000 0.500
Ag 0.500 0.500 0.000
Hg 0.000 0.000 0.000
Hg 0.000 0.500 0.122
Hg 0.000 0.500 0.378
Hg 0.000 0.500 0.622
Hg 0.000 0.500 0.878
Hg 0.500 0.000 0.122
Hg 0.500 0.000 0.378
Hg 0.500 0.000 0.622
Hg 0.500 0.000 0.878
Hg 0.500 0.500 0.500


Record 2
YEr2Os: optimized geometry, PBE-GGA.

Computed properties:
- ΔE_f: -0.261 eV/atom
- Final energy: -6.966 eV/atom
- Space-group type: Cmcm, No. 63
- Offset from the most stable computed form: 0.0168 eV per atom

a b c (Å): 3.993 11.776 8.897
angles (deg): 90.00 90.00 90.00
Element x y z (fractional)
Y 0.000 0.073 0.250
Y 0.000 0.927 0.750
Y 0.500 0.427 0.750
Y 0.500 0.573 0.250
Er 0.000 0.354 0.065
Er 0.000 0.354 0.435
Er 0.000 0.646 0.565
Er 0.000 0.646 0.935
Er 0.500 0.146 0.565
Er 0.500 0.146 0.935
Er 0.500 0.854 0.065
Er 0.500 0.854 0.435
Os 0.000 0.257 0.750
Os 0.000 0.743 0.250
Os 0.500 0.243 0.250
Os 0.500 0.757 0.750


Record 3
Be2CrCu: optimized geometry, PBE-GGA.

Computed properties:
- ΔE_f: 0.081 eV/atom
- Final energy: -5.212 eV/atom
- Space-group type: Amm2, No. 38

a b c (Å): 3.650 2.431 8.935
angles (deg): 90.00 90.00 90.00
Element x y z (fractional)
Be 0.000 0.000 0.000
Be 0.000 0.500 0.500
Be 0.500 0.000 0.133
Be 0.500 0.500 0.633
Cr 0.000 0.000 0.736
Cr 0.000 0.500 0.236
Cu 0.500 0.000 0.402
Cu 0.500 0.500 0.902


Record 4
Rb2Tl9Cd3: optimized geometry, PBE-GGA.

Computed properties:
- ΔE_f: -0.031 eV/atom
- Final energy: -1.887 eV/atom
- Space-group type: C2/c, No. 15

a b c (Å): 9.549 9.549 12.703
angles (deg): 112.19 112.19 60.53
Element x y z (fractional)
Rb 0.084 0.257 0.242
Rb 0.257 0.084 0.742
Rb 0.743 0.916 0.258
Rb 0.916 0.743 0.758
Tl 0.028 0.860 0.095
Tl 0.140 0.972 0.405
Tl 0.191 0.366 0.574
Tl 0.233 0.568 0.259
Tl 0.319 0.492 0.967
Tl 0.366 0.191 0.074
Tl 0.374 0.626 0.750
Tl 0.432 0.767 0.241
Tl 0.492 0.319 0.467
Tl 0.508 0.681 0.533
Tl 0.568 0.233 0.759
Tl 0.626 0.374 0.250
Tl 0.634 0.809 0.926
Tl 0.681 0.508 0.033
Tl 0.767 0.432 0.741
Tl 0.809 0.634 0.426
Tl 0.860 0.028 0.595
Tl 0.972 0.140 0.905
Cd 0.000 0.500 0.000
Cd 0.141 0.689 0.502
Cd 0.311 0.859 0.998
Cd 0.500 0.000 0.500
Cd 0.689 0.141 0.002
Cd 0.859 0.311 0.498


Record 5
In2TcSe: optimized geometry, PBE-GGA.

Computed properties:
- Final energy: -4.761 eV/atom
- Space-group type: Amm2, No. 38
- Energy relative to the elements, uncorrected: 0.07 eV per atom

a b c (Å): 4.293 3.739 10.208
angles (deg): 90.00 90.00 90.00
Element x y z (fractional)
In 0.000 0.000 0.000
In 0.000 0.500 0.500
In 0.500 0.000 0.307
In 0.500 0.500 0.807
Tc 0.000 0.000 0.723
Tc 0.000 0.500 0.223
Se 0.500 0.000 0.586
Se 0.500 0.500 0.086


Record 6
CaAuS2Cl: optimized geometry, PBE-GGA.

Computed properties:
- Final energy: -3.597 eV/atom
- Space-group type: P4/mmm, No. 123
- Energy relative to the elements, uncorrected: -0.52 eV per atom
- Offset from the most stable computed form: 0.0000 eV per atom

a b c (Å): 4.915 4.915 4.937
angles (deg): 90.00 90.00 90.00
Element x y z (fractional)
Ca 0.000 0.000 0.000
Au 0.500 0.500 0.500
S 0.000 0.500 0.500
S 0.500 0.000 0.500
Cl 0.500 0.500 0.000


Record 7
SmAlPd: optimized geometry, PBE-GGA.

Computed properties:
- ΔE_f: -0.822 eV/atom
- Final energy: -5.374 eV/atom
- Space-group type: P2_1/m, No. 11

a b c (Å): 7.130 4.334 12.173
angles (deg): 90.00 92.02 90.00
Element x y z (fractional)
Sm 0.029 0.250 0.373
Sm 0.152 0.250 0.081
Sm 0.469 0.750 0.709
Sm 0.531 0.250 0.291
Sm 0.848 0.750 0.919
Sm 0.971 0.750 0.627
Al 0.145 0.250 0.799
Al 0.356 0.750 0.458
Al 0.496 0.750 0.083
Al 0.504 0.250 0.917
Al 0.644 0.250 0.542
Al 0.855 0.750 0.201
Pd 0.238 0.750 0.244
Pd 0.275 0.250 0.573
Pd 0.276 0.750 0.908
Pd 0.724 0.250 0.092
Pd 0.725 0.750 0.427
Pd 0.762 0.250 0.756